A plane-wave DFT calculation with GGA-PBE was carried out for crystalline MgAl4In at its relaxed geometry.

Results
E_form ... 0.0806 eV per atom
DFT total energy ... -3.137 eV per atom
Density of states at the Fermi level ... 3.6 states/eV/f.u.

Cell: 7.786 7.786 7.786 Å, 90.00 90.00 90.00°
Space group F-43m (No. 216)
Inequivalent atoms, fractional coordinates:
Mg 0.000 0.000 0.000 x4
Al 0.125 0.125 0.625 x16
In 0.250 0.250 0.250 x4